ScTi3P at its PBEsol-relaxed geometry, computed with SCAN.

```
ScTi3P
1.0
4.566 0.000 0.000
0.000 4.566 0.000
0.000 0.000 4.566
Ti Sc P
3 1 1
Direct
0.000 0.500 0.000
0.000 0.000 0.500
0.500 0.000 0.000
0.500 0.500 0.500
0.000 0.000 0.000
```

Summary:
As for the symmetry: Pm-3m. Its crystal system is cubic. The value obtained for the formation energy is -321 meV per atom.

***

Sc3TlP at its PBEsol-relaxed geometry, computed with SCAN.

```
Sc3TlP
1.0
4.833 0.000 0.000
0.000 4.833 0.000
0.000 0.000 4.833
P Sc Tl
1 3 1
Direct
0.000 0.000 0.000
0.000 0.500 0.000
0.500 0.000 0.000
0.000 0.000 0.500
0.500 0.500 0.500
```

Summary:
As for the symmetry: Pm-3m. Its crystal system is cubic. As for the offset from the most stable computed form: 48 meV per atom. The value obtained for the formation energy is -844 meV per atom.

***

ScTlP2 at its PBEsol-relaxed geometry, computed with SCAN.

```
ScTlP2
1.0
3.546 0.000 0.000
0.000 4.535 0.034
0.000 -0.116 4.534
Sc Tl P
1 1 2
Direct
0.500 0.000 0.000
0.500 0.500 0.500
0.000 0.000 0.500
0.000 0.500 0.000
```

Summary:
As for the symmetry: Cmmm. Its crystal system is orthorhombic. As for the offset from the most stable computed form: 0 meV per atom. The value obtained for the formation energy is -208 meV per atom.

***

Sc3TlP at its PBEsol-relaxed geometry, computed with SCAN.

```
Sc3TlP
1.0
3.926 0.000 0.000
0.000 6.429 -0.005
0.000 -1.392 8.270
Tl P Sc
2 2 6
Direct
0.750 0.171 0.122
0.250 0.829 0.878
0.750 0.736 0.412
0.250 0.264 0.588
0.750 0.030 0.672
0.250 0.468 0.336
0.750 0.532 0.664
0.750 0.665 0.094
0.250 0.335 0.906
0.250 0.970 0.328
```

Summary:
As for the symmetry: P2_1/m. Its crystal system is monoclinic. As for the offset from the most stable computed form: 0 meV per atom. The value obtained for the formation energy is -892 meV per atom.

***

Sc2TlP at its PBEsol-relaxed geometry, computed with SCAN.

```
Sc2TlP
1.0
-2.811 0.987 1.240
-0.887 -1.176 -2.871
-1.062 -7.076 3.227
Tl Sc P
1 2 1
Direct
0.500 0.500 0.500
0.000 0.000 0.205
0.000 0.000 0.795
0.500 0.500 0.000
```

Summary:
As for the symmetry: Cmmm. Its crystal system is orthorhombic. As for the offset from the most stable computed form: 291 meV per atom. The value obtained for the formation energy is -778 meV per atom.

***

Sc2TlP at its PBEsol-relaxed geometry, computed with SCAN.

```
Sc2TlP
1.0
3.609 0.000 0.000
1.805 3.126 0.000
1.805 1.042 7.514
Sc P Tl
2 1 1
Direct
0.268 0.268 0.196
0.732 0.732 0.804
0.000 0.000 0.000
0.500 0.500 0.500
```

Summary:
As for the symmetry: R-3m. Its crystal system is trigonal. As for the offset from the most stable computed form: 0 meV per atom. The value obtained for the formation energy is -1069 meV per atom.

***

ScTlP2 at its PBEsol-relaxed geometry, computed with SCAN.

```
ScTlP2
1.0
-2.618 3.278 1.035
0.291 -3.685 3.384
2.431 0.846 3.470
Sc P Tl
1 2 1
Direct
0.500 0.000 0.500
0.250 0.500 0.250
0.750 0.500 0.750
0.000 0.000 0.000
```

Summary:
As for the symmetry: I4/mmm. Its crystal system is tetragonal. As for the offset from the most stable computed form: 92 meV per atom. The value obtained for the formation energy is -116 meV per atom.

***

Sc2TlP at its PBEsol-relaxed geometry, computed with SCAN.

```
Sc2TlP
1.0
-0.618 2.554 2.710
-3.454 1.706 -2.396
-2.846 -2.872 2.058
Tl Sc P
1 2 1
Direct
0.500 0.500 0.500
0.000 0.000 0.500
0.000 0.500 0.000
0.500 0.000 0.000
```

Summary:
As for the symmetry: P4/mmm. Its crystal system is tetragonal. As for the offset from the most stable computed form: 487 meV per atom. The value obtained for the formation energy is -581 meV per atom.

***

Sc2PW at its PBEsol-relaxed geometry, computed with SCAN.

```
Sc2PW
1.0
3.100 0.000 0.000
0.000 4.764 0.014
-1.550 -1.451 4.744
P Sc W
1 2 1
Direct
0.221 0.771 0.443
0.971 0.947 0.942
0.767 0.278 0.533
0.541 0.504 0.082
```

Summary:
As for the symmetry: Cm. Its crystal system is monoclinic. The value obtained for the formation energy is -290 meV per atom.

***

ScP2W at its PBEsol-relaxed geometry, computed with SCAN.

```
ScP2W
1.0
5.517 0.000 0.000
0.000 5.517 0.000
-2.759 -2.759 5.738
P W Sc
4 2 2
Direct
0.125 0.087 0.750
0.337 0.875 0.250
0.913 0.375 0.250
0.625 0.663 0.750
0.250 0.750 0.500
0.000 0.000 0.000
0.750 0.250 0.500
0.500 0.500 0.000
```

Summary:
As for the symmetry: I-42d. Its crystal system is tetragonal. The value obtained for the formation energy is -201 meV per atom.

***

Sc3PW at its PBEsol-relaxed geometry, computed with SCAN.

```
Sc3PW
1.0
4.750 0.000 0.000
0.000 4.750 0.000
0.000 0.000 4.750
P W Sc
1 1 3
Direct
0.000 0.000 0.000
0.500 0.500 0.500
0.500 0.000 0.000
0.000 0.500 0.000
0.000 0.000 0.500
```

Summary:
As for the symmetry: Pm-3m. Its crystal system is cubic. The value obtained for the formation energy is 226 meV per atom.

***

Sc2PW at its PBEsol-relaxed geometry, computed with SCAN.

```
Sc2PW
1.0
-0.066 -1.658 2.490
-1.313 -2.689 -0.027
8.003 -5.557 -1.689
Sc W P
2 1 1
Direct
0.088 0.088 0.736
0.912 0.912 0.264
0.500 0.500 0.500
0.000 0.000 0.000
```

Summary:
As for the symmetry: R-3m. Its crystal system is trigonal. The value obtained for the formation energy is 431 meV per atom.

***

ScPW2 at its PBEsol-relaxed geometry, computed with SCAN.

```
ScPW2
1.0
-0.802 1.002 2.684
-4.360 -0.010 -1.293
2.140 -4.913 0.822
W P Sc
2 1 1
Direct
0.000 0.500 0.500
0.500 0.000 0.500
0.000 0.500 0.000
0.500 0.000 0.000
```

Summary:
As for the symmetry: C2/m. Its crystal system is monoclinic. The value obtained for the formation energy is 177 meV per atom.

***

ScPW2 at its PBEsol-relaxed geometry, computed with SCAN.

```
ScPW2
1.0
4.427 0.000 0.000
2.214 3.834 0.000
2.214 1.278 3.615
Sc W P
1 2 1
Direct
0.250 0.250 0.250
0.000 0.000 0.000
0.750 0.750 0.750
0.500 0.500 0.500
```

Summary:
As for the symmetry: F-43m. Its crystal system is cubic. The value obtained for the formation energy is 147 meV per atom.

***

Sc2PW at its PBEsol-relaxed geometry, computed with SCAN.

```
Sc2PW
1.0
3.907 0.000 0.000
0.000 3.907 0.000
-1.953 -1.953 4.375
Sc P W
2 1 1
Direct
0.000 0.000 0.000
0.750 0.250 0.500
0.250 0.750 0.500
0.500 0.500 0.000
```

Summary:
As for the symmetry: I-4m2. Its crystal system is tetragonal. The value obtained for the formation energy is -110 meV per atom.

***

Y3ScP at its PBEsol-relaxed geometry, computed with SCAN.

```
Y3ScP
1.0
5.270 0.000 0.000
0.000 5.270 0.000
0.000 0.000 5.270
P Y Sc
1 3 1
Direct
0.000 0.000 0.000
0.000 0.500 0.000
0.500 0.000 0.000
0.000 0.000 0.500
0.500 0.500 0.500
```

Summary:
As for the symmetry: Pm-3m. Its crystal system is cubic. The value obtained for the formation energy is -506 meV per atom.

***

YScP2 at its PBEsol-relaxed geometry, computed with SCAN.

```
YScP2
1.0
3.850 0.000 0.000
0.000 3.850 0.000
0.000 0.000 5.435
P Sc Y
2 1 1
Direct
0.000 0.000 0.000
0.500 0.500 0.500
0.500 0.500 0.000
0.000 0.000 0.500
```

Summary:
As for the symmetry: P4/mmm. Its crystal system is tetragonal. As for the offset from the most stable computed form: 34 meV per atom. The value obtained for the formation energy is -1716 meV per atom.

***

YScP at its PBEsol-relaxed geometry, computed with SCAN.

```
YScP
1.0
4.557 0.000 0.000
2.279 3.947 0.000
2.279 1.316 3.721
P Sc Y
1 1 1
Direct
0.500 0.500 0.500
0.750 0.750 0.750
0.000 0.000 0.000
```

Summary:
As for the symmetry: F-43m. Its crystal system is cubic. The value obtained for the formation energy is 17 meV per atom.

***

YScP2 at its PBEsol-relaxed geometry, computed with SCAN.

```
YScP2
1.0
3.842 0.000 0.000
1.921 3.327 0.000
1.921 1.109 6.255
Sc P Y
1 2 1
Direct
0.500 0.500 0.500
0.755 0.755 0.734
0.245 0.245 0.266
0.000 0.000 0.000
```

Summary:
As for the symmetry: R-3m. Its crystal system is trigonal. As for the offset from the most stable computed form: 0 meV per atom. The value obtained for the formation energy is -1750 meV per atom.

***

YSc3P at its PBEsol-relaxed geometry, computed with SCAN.

```
YSc3P
1.0
-2.470 3.539 -2.508
0.808 -2.460 -4.268
-4.262 -2.518 0.644
P Y Sc
1 1 3
Direct
0.500 0.500 0.500
0.000 0.000 0.000
0.000 0.000 0.500
0.500 0.000 0.000
0.000 0.500 0.000
```

Summary:
As for the symmetry: Pm-3m. Its crystal system is cubic. The value obtained for the formation energy is 1215 meV per atom.

***

no.,total energy (eV/atom)
1,-14.87
2,-25.94
3,-27.06
4,-25.99
5,-28.59
6,-28.88
7,-26.96
8,-28.39
9,-27.43
10,-26.38
11,-24.33
12,-26.71
13,-40.83
14,-40.86
15,-27.25
16,-22.14
17,-17.44
18,-17.48
19,-17.47
20,-14.98